# 1
Entry from Alexandria: crystalline TaAu2Cl at its relaxed geometry (GGA-PBE).

a = 8.9034 Å, b = 8.9034 Å, c = 8.9034 Å
α = 20.45°, β = 20.45°, γ = 20.45°
Fractional positions:
Ta: 0.0000 0.0000 0.0000
Au: 0.2514 0.2514 0.2514
Au: 0.7486 0.7486 0.7486
Cl: 0.5000 0.5000 0.5000

Summary:
The calculation puts the volume at 75 Å³ per cell. Its energy above the most stable polymorph in this dataset is 236 meV/atom. The uncorrected formation energy comes out at 0.02 eV/atom. The calculation puts the magnetization at 0.0 μB/f.u. The space group is R-3m, No. 166. For the density of states at the Fermi level, the calculation gives 1.5 states/eV per cell.

***

# 2
Entry from Alexandria: crystalline TaAu2Cl at its relaxed geometry (GGA-PBE).

a = 2.9850 Å, b = 3.0232 Å, c = 9.5633 Å
α = 90.00°, β = 98.83°, γ = 90.00°
Fractional positions:
Ta: 0.0000 0.0000 0.0000
Au: 0.2067 0.0000 0.4202
Au: 0.6007 0.5000 0.2047
Cl: 0.9013 0.5000 0.7992

Summary:
The calculation puts the volume at 85 Å³ per cell. Its energy above the most stable polymorph in this dataset is 54 meV/atom. The uncorrected formation energy comes out at -0.16 eV/atom. The calculation puts the magnetization at 0.0 μB/f.u. The space group is Pm, No. 6. For the density of states at the Fermi level, the calculation gives 1.4 states/eV per cell.

***

# 3
Entry from Alexandria: crystalline TaAuCl2 at its relaxed geometry (GGA-PBE).

a = 2.9795 Å, b = 2.9795 Å, c = 9.6539 Å
α = 90.00°, β = 90.00°, γ = 90.00°
Fractional positions:
Ta: 0.0000 0.0000 0.0000
Au: 0.0000 0.0000 0.5000
Cl: 0.5000 0.5000 0.1605
Cl: 0.5000 0.5000 0.8395

Summary:
The calculation puts the volume at 86 Å³ per cell. Its energy above the most stable polymorph in this dataset is 435 meV/atom. The uncorrected formation energy comes out at -0.11 eV/atom. The calculation puts the magnetization at 0.0 μB/f.u. The space group is P4/mmm, No. 123. For the density of states at the Fermi level, the calculation gives 1.8 states/eV per cell.

***

# 4
Entry from Alexandria: crystalline TaAu2Cl at its relaxed geometry (GGA-PBE).

a = 10.2409 Å, b = 10.2409 Å, c = 10.2409 Å
α = 17.05°, β = 17.05°, γ = 17.05°
Fractional positions:
Ta: 0.0000 0.0000 0.0000
Au: 0.2587 0.2587 0.2587
Au: 0.5137 0.5137 0.5137
Cl: 0.7266 0.7266 0.7266

Summary:
The calculation puts the volume at 81 Å³ per cell. Its energy above the most stable polymorph in this dataset is 0 meV/atom. The uncorrected formation energy comes out at -0.21 eV/atom. The calculation puts the magnetization at 0.0 μB/f.u. The space group is R3m, No. 160. For the density of states at the Fermi level, the calculation gives 3.7 states/eV per cell.

***

# 5
Entry from Alexandria: crystalline TaAu2Cl at its relaxed geometry (GGA-PBE).

a = 5.5134 Å, b = 5.5134 Å, c = 2.9052 Å
α = 90.00°, β = 90.00°, γ = 123.20°
Fractional positions:
Ta: 0.0000 0.0000 0.0000
Au: 0.0000 0.5000 0.5000
Au: 0.5000 0.0000 0.5000
Cl: 0.5000 0.5000 0.0000

Summary:
The calculation puts the volume at 74 Å³ per cell. Its energy above the most stable polymorph in this dataset is 428 meV/atom. The uncorrected formation energy comes out at 0.21 eV/atom. The calculation puts the magnetization at 0.0 μB/f.u. The space group is Cmmm, No. 65. For the density of states at the Fermi level, the calculation gives 1.8 states/eV per cell.

***

# 6
Entry from Alexandria: crystalline TaAuCl2 at its relaxed geometry (GGA-PBE).

a = 3.3107 Å, b = 3.3107 Å, c = 8.8926 Å
α = 100.48°, β = 100.48°, γ = 59.98°
Fractional positions:
Ta: 0.0000 0.0000 0.0000
Au: 0.2588 0.2588 0.7706
Cl: 0.5228 0.5228 0.5577
Cl: 0.7299 0.7299 0.1941

Summary:
The calculation puts the volume at 83 Å³ per cell. Its energy above the most stable polymorph in this dataset is 175 meV/atom. The uncorrected formation energy comes out at -0.37 eV/atom. The calculation puts the magnetization at 0.0 μB/f.u. The space group is Cm, No. 8. For the density of states at the Fermi level, the calculation gives 1.4 states/eV per cell.